Computed, not measured: a relaxed structure of MnV2Fe at the PBE-GGA level of DFT.

abc: 2.8762 2.8762 5.7159
angles: 90.00 90.00 90.00
Fractional positions:
1 Mn 0.0000 0.0000 0.0000
2 V 0.5000 0.5000 0.2478
3 V 0.5000 0.5000 0.7522
4 Fe 0.0000 0.0000 0.5000

Results
volume: 11.82 A^3/atom
E_tot: -9.17 eV/atom
magnetization: 0.14 μB/atom

Computed, not measured: a relaxed structure of MnVFe2 at the PBE-GGA level of DFT.

abc: 4.0475 4.0475 4.0475
angles: 60.00 60.00 60.00
Fractional positions:
1 Mn 0.0000 0.0000 0.0000
2 V 0.5000 0.5000 0.5000
3 Fe 0.2500 0.2500 0.2500
4 Fe 0.7500 0.7500 0.7500

Results
volume: 11.72 A^3/atom
E_tot: -8.87 eV/atom
magnetization: 1.11 μB/atom